Record 1
MnFeW2 (PBE, optimized geometry); DFT total energy = -80.9 eV/cell; energy relative to the lowest polymorph listed for this composition = 664.7 meV/atom; ΔE_f = 296 kJ/mol of formula units
1.0
-3.380 3.380 2.609
3.380 -3.380 2.609
3.380 3.380 -2.609
Mn Fe W
2 2 4
Direct
0.000 0.000 0.000
0.750 0.250 0.500
0.250 0.750 0.500
0.500 0.500 0.000
0.147 0.625 0.022
0.375 0.397 0.522
0.603 0.125 0.978
0.875 0.853 0.478


Record 2
Mn2FeW (PBE, optimized geometry); DFT total energy = -38.9 eV/cell; ΔE_f = 79 kJ/mol of formula units
1.0
1.554 -2.061 0.000
1.554 2.061 0.000
0.000 0.000 7.891
Mn Fe W
2 1 1
Direct
0.000 0.000 0.000
0.500 0.500 0.225
0.500 0.500 0.758
0.000 0.000 0.491